(1)
A plane-wave DFT calculation with PBE-GGA was carried out for TeIrCl after structural relaxation.

```
data_TeIrCl
_cell_length_a 7.1138
_cell_length_b 6.1308
_cell_length_c 6.9030
_cell_angle_alpha 90.00
_cell_angle_beta 112.37
_cell_angle_gamma 90.00
_symmetry_space_group_name_H-M 'P 1 21/c 1'
_symmetry_Int_Tables_number 14
_symmetry_space_group_name_Hall '-P 2ybc'
loop_
_atom_site_label
_atom_site_type_symbol
_atom_site_fract_x
_atom_site_fract_y
_atom_site_fract_z
_atom_site_occupancy
Te1 Te 0.1398 0.1044 0.3678 1
Ir1 Ir 0.2364 0.0159 0.7643 1
Cl1 Cl 0.3999 0.6613 0.6152 1
```

## Properties
crystal system	monoclinic
final energy	-57.2	eV per cell
Fermi-level density of states	0.095	states/eV/atom


(2)
A plane-wave DFT calculation with PBE-GGA was carried out for TeIrCl2 after structural relaxation.

```
data_TeIrCl2
_cell_length_a 5.8238
_cell_length_b 6.1669
_cell_length_c 8.9722
_cell_angle_alpha 90.00
_cell_angle_beta 90.00
_cell_angle_gamma 90.00
_symmetry_space_group_name_H-M 'F m m m'
_symmetry_Int_Tables_number 69
_symmetry_space_group_name_Hall '-F 2 2'
loop_
_atom_site_label
_atom_site_type_symbol
_atom_site_fract_x
_atom_site_fract_y
_atom_site_fract_z
_atom_site_occupancy
Te1 Te 0.0000 0.0000 0.0000 1
Ir1 Ir 0.0000 0.0000 0.5000 1
Cl1 Cl 0.0000 0.2500 0.2500 1
```

## Properties
crystal system	orthorhombic
Fermi-level density of states	0.581	states/eV/atom
polymorph energy (0 for the lowest one)	699.1	meV per atom


(3)
A plane-wave DFT calculation with PBE-GGA was carried out for TeIrCl2 after structural relaxation.

```
data_TeIrCl2
_cell_length_a 5.1421
_cell_length_b 5.1421
_cell_length_c 3.0920
_cell_angle_alpha 90.00
_cell_angle_beta 90.00
_cell_angle_gamma 90.00
_symmetry_space_group_name_H-M 'P 4/m m m'
_symmetry_Int_Tables_number 123
_symmetry_space_group_name_Hall '-P 4 2'
loop_
_atom_site_label
_atom_site_type_symbol
_atom_site_fract_x
_atom_site_fract_y
_atom_site_fract_z
_atom_site_occupancy
Te1 Te 0.0000 0.0000 0.0000 1
Ir1 Ir 0.5000 0.5000 0.0000 1
Cl1 Cl 0.0000 0.5000 0.5000 1
```

## Properties
crystal system	tetragonal
Fermi-level density of states	0.890	states/eV/atom
polymorph energy (0 for the lowest one)	1290.5	meV per atom


(4)
A plane-wave DFT calculation with PBE-GGA was carried out for TeIrCl after structural relaxation.

```
data_TeIrCl
_cell_length_a 3.5952
_cell_length_b 5.3346
_cell_length_c 9.4609
_cell_angle_alpha 90.00
_cell_angle_beta 90.00
_cell_angle_gamma 90.00
_symmetry_space_group_name_H-M 'P m m n'
_symmetry_Int_Tables_number 59
loop_
_symmetry_equiv_pos_as_xyz
'x,y,z'
'-x,-y,-z'
'-x+1/2,-y+1/2,z'
'x+1/2,y+1/2,-z'
'x+1/2,-y,-z'
'-x+1/2,y,z'
'-x,y+1/2,-z'
'x,-y+1/2,z'
loop_
_atom_site_label
_atom_site_type_symbol
_atom_site_fract_x
_atom_site_fract_y
_atom_site_fract_z
_atom_site_occupancy
Te1 Te 0.2500 0.2500 0.0725 1
Ir1 Ir 0.2500 0.7500 0.1260 1
Cl1 Cl 0.2500 0.7500 0.3652 1
```

## Properties
crystal system	orthorhombic
final energy	-28.5	eV per cell
Fermi-level density of states	0.475	states/eV/atom


(5)
A plane-wave DFT calculation with PBE-GGA was carried out for TeIrCl2 after structural relaxation.

```
data_TeIrCl2
_cell_length_a 3.2808
_cell_length_b 5.6966
_cell_length_c 11.5204
_cell_angle_alpha 90.00
_cell_angle_beta 90.00
_cell_angle_gamma 90.00
_symmetry_space_group_name_H-M 'C m m m'
_symmetry_Int_Tables_number 65
_symmetry_space_group_name_Hall '-C 2 2'
loop_
_atom_site_label
_atom_site_type_symbol
_atom_site_fract_x
_atom_site_fract_y
_atom_site_fract_z
_atom_site_occupancy
Te1 Te 0.0000 0.0000 0.0000 1
Ir1 Ir 0.0000 0.0000 0.5000 1
Cl1 Cl 0.0000 0.5000 0.3539 1
```

## Properties
crystal system	orthorhombic
Fermi-level density of states	0.998	states/eV/atom
polymorph energy (0 for the lowest one)	436.9	meV per atom


(6)
A plane-wave DFT calculation with PBE-GGA was carried out for TeIrCl2 after structural relaxation.

```
data_TeIrCl2
_cell_length_a 6.5846
_cell_length_b 3.8004
_cell_length_c 8.3396
_cell_angle_alpha 90.00
_cell_angle_beta 104.74
_cell_angle_gamma 90.00
_symmetry_space_group_name_H-M 'C 1 m 1'
_symmetry_Int_Tables_number 8
_symmetry_space_group_name_Hall 'C -2y'
loop_
_atom_site_label
_atom_site_type_symbol
_atom_site_fract_x
_atom_site_fract_y
_atom_site_fract_z
_atom_site_occupancy
Te1 Te 0.0000 0.0000 0.0000 1
Ir1 Ir 0.2202 0.5000 0.1659 1
Cl1 Cl 0.2524 0.0000 0.7467 1
Cl2 Cl 0.4427 0.0000 0.3385 1
```

## Properties
crystal system	monoclinic
Fermi-level density of states	0.938	states/eV/atom
polymorph energy (0 for the lowest one)	0.0	meV per atom


(7)
A plane-wave DFT calculation with PBE-GGA was carried out for TeIr3Cl after structural relaxation.

```
data_TeIr3Cl
_cell_length_a 4.9375
_cell_length_b 4.9375
_cell_length_c 4.9375
_cell_angle_alpha 90.00
_cell_angle_beta 90.00
_cell_angle_gamma 90.00
_symmetry_space_group_name_H-M 'P m -3 m'
_symmetry_Int_Tables_number 221
_symmetry_space_group_name_Hall '-P 4 2 3'
loop_
_atom_site_label
_atom_site_type_symbol
_atom_site_fract_x
_atom_site_fract_y
_atom_site_fract_z
_atom_site_occupancy
Te1 Te 0.0000 0.0000 0.0000 1
Ir1 Ir 0.0000 0.0000 0.5000 1
Cl1 Cl 0.5000 0.5000 0.5000 1
```

## Properties
crystal system	cubic
Fermi-level density of states	2.116	states/eV/atom
polymorph energy (0 for the lowest one)	322.9	meV per atom


(8)
A plane-wave DFT calculation with PBE-GGA was carried out for TeIr3Cl after structural relaxation.

```
data_TeIr3Cl
_cell_length_a 4.5339
_cell_length_b 4.5339
_cell_length_c 4.5339
_cell_angle_alpha 90.00
_cell_angle_beta 90.00
_cell_angle_gamma 90.00
_symmetry_space_group_name_H-M 'P m -3 m'
_symmetry_Int_Tables_number 221
_symmetry_space_group_name_Hall '-P 4 2 3'
loop_
_atom_site_label
_atom_site_type_symbol
_atom_site_fract_x
_atom_site_fract_y
_atom_site_fract_z
_atom_site_occupancy
Te1 Te 0.0000 0.0000 0.0000 1
Ir1 Ir 0.0000 0.5000 0.5000 1
Cl1 Cl 0.5000 0.5000 0.5000 1
```

## Properties
crystal system	cubic
Fermi-level density of states	1.467	states/eV/atom
polymorph energy (0 for the lowest one)	0.0	meV per atom


(9)
A plane-wave DFT calculation with PBE-GGA was carried out for TeIrCl3 after structural relaxation.

```
data_TeIrCl3
_cell_length_a 4.8616
_cell_length_b 4.8616
_cell_length_c 4.8616
_cell_angle_alpha 90.00
_cell_angle_beta 90.00
_cell_angle_gamma 90.00
_symmetry_space_group_name_H-M 'P m -3 m'
_symmetry_Int_Tables_number 221
_symmetry_space_group_name_Hall '-P 4 2 3'
loop_
_atom_site_label
_atom_site_type_symbol
_atom_site_fract_x
_atom_site_fract_y
_atom_site_fract_z
_atom_site_occupancy
Te1 Te 0.0000 0.0000 0.0000 1
Ir1 Ir 0.5000 0.5000 0.5000 1
Cl1 Cl 0.0000 0.5000 0.5000 1
```

## Properties
crystal system	cubic
Fermi-level density of states	0.942	states/eV/atom
polymorph energy (0 for the lowest one)	0.0	meV per atom


(10)
A plane-wave DFT calculation with PBE-GGA was carried out for Te4IrCl after structural relaxation.

```
data_Te4IrCl
_cell_length_a 7.5075
_cell_length_b 7.7855
_cell_length_c 7.8798
_cell_angle_alpha 77.88
_cell_angle_beta 68.78
_cell_angle_gamma 74.03
_symmetry_space_group_name_H-M 'P -1'
_symmetry_Int_Tables_number 2
_symmetry_space_group_name_Hall '-P 1'
loop_
_atom_site_label
_atom_site_type_symbol
_atom_site_fract_x
_atom_site_fract_y
_atom_site_fract_z
_atom_site_occupancy
Te1 Te 0.0056 0.2328 0.1953 1
Te2 Te 0.1688 0.4071 0.7604 1
Te3 Te 0.2956 0.8275 0.1311 1
Te4 Te 0.4485 0.3284 0.1775 1
Ir1 Ir 0.2088 0.5660 0.0190 1
Cl1 Cl 0.2107 0.9856 0.6032 1
```

## Properties
crystal system	triclinic
Fermi-level density of states	0.005	states/eV/atom
polymorph energy (0 for the lowest one)	0.0	meV per atom


(11)
A plane-wave DFT calculation with PBE-GGA was carried out for TiTe2IrCl after structural relaxation.

```
data_TiTe2IrCl
_cell_length_a 5.3091
_cell_length_b 5.3091
_cell_length_c 4.6444
_cell_angle_alpha 90.00
_cell_angle_beta 90.00
_cell_angle_gamma 90.00
_symmetry_space_group_name_H-M 'P 4/m m m'
_symmetry_Int_Tables_number 123
_symmetry_space_group_name_Hall '-P 4 2'
loop_
_atom_site_label
_atom_site_type_symbol
_atom_site_fract_x
_atom_site_fract_y
_atom_site_fract_z
_atom_site_occupancy
Ti1 Ti 0.0000 0.0000 0.0000 1
Te1 Te 0.0000 0.5000 0.0000 1
Ir1 Ir 0.0000 0.0000 0.5000 1
Cl1 Cl 0.5000 0.5000 0.5000 1
```

## Properties
crystal system	tetragonal
final energy	-22.2	eV per cell
Fermi-level density of states	1.137	states/eV/atom


(12)
A plane-wave DFT calculation with PBE-GGA was carried out for TeIr2WCl after structural relaxation.

```
data_TeIr2WCl
_cell_length_a 4.3726
_cell_length_b 4.3726
_cell_length_c 5.2040
_cell_angle_alpha 90.00
_cell_angle_beta 90.00
_cell_angle_gamma 90.00
_symmetry_space_group_name_H-M 'P 4/m m m'
_symmetry_Int_Tables_number 123
_symmetry_space_group_name_Hall '-P 4 2'
loop_
_atom_site_label
_atom_site_type_symbol
_atom_site_fract_x
_atom_site_fract_y
_atom_site_fract_z
_atom_site_occupancy
Te1 Te 0.0000 0.0000 0.0000 1
Ir1 Ir 0.0000 0.5000 0.5000 1
W1 W 0.5000 0.5000 0.0000 1
Cl1 Cl 0.0000 0.0000 0.5000 1
```

## Properties
crystal system	tetragonal
final energy	-25.7	eV per cell
Fermi-level density of states	1.310	states/eV/atom